No. 1
Computed, not measured: an optimized crystal structure of LiPr3Rh3 at the PBE level of DFT.

Cell lengths 4.140, 5.701, 14.177 Å; angles 90.00, 90.00, 111.29 degrees
Element x y z (fractional)
Pr  0.197  0.395  0.603
Rh  0.748  0.496  0.750
Rh  0.910  0.819  0.911
Rh  0.090  0.181  0.089
Pr  0.472  0.944  0.750
Rh  0.910  0.819  0.589
Li  0.500  0.000  0.000
Pr  0.803  0.605  0.397
Rh  0.252  0.504  0.250
Pr  0.197  0.395  0.897
Li  0.500  0.000  0.500
Pr  0.803  0.605  0.103
Pr  0.528  0.056  0.250
Rh  0.090  0.181  0.411

## Properties
Total DFT energy (no corrections) ... -6.038 eV per atom
Total magnetic moment ... 0.0 μB/cell
D(E_F) ... 9.50 states/eV/cell

=====

No. 2
Computed, not measured: an optimized crystal structure of LiPr2Rh at the PBE level of DFT.

Cell lengths 4.133, 4.133, 8.729 Å; angles 76.31, 76.31, 60.00 degrees
Element x y z (fractional)
Li  0.502  0.502  0.495
Pr  0.061  0.061  0.816
Rh  0.666  0.666  0.003
Pr  0.271  0.271  0.187

## Properties
Total DFT energy (no corrections) ... -4.983 eV per atom
Total magnetic moment ... 0.0 μB/cell
D(E_F) ... 2.21 states/eV/cell

=====

No. 3
Computed, not measured: an optimized crystal structure of Li3PrRh2 at the PBE level of DFT.

Cell lengths 4.252, 7.065, 8.201 Å; angles 115.36, 90.00, 107.52 degrees
Element x y z (fractional)
Rh  0.212  0.423  0.733
Li  0.282  0.564  0.461
Li  0.718  0.436  0.539
Li  0.941  0.882  0.617
Pr  0.142  0.285  0.022
Li  0.421  0.841  0.323
Pr  0.858  0.715  0.978
Li  0.059  0.118  0.383
Rh  0.566  0.133  0.181
Rh  0.788  0.577  0.267
Rh  0.434  0.867  0.819
Li  0.579  0.159  0.677

## Properties
Total DFT energy (no corrections) ... -4.480 eV per atom
Total magnetic moment ... 0.0 μB/cell
D(E_F) ... 5.81 states/eV/cell

=====

Q: Which formula does entry 1 have?
A: LiPr3Rh3